Entry from the Alexandria database: Er2TmPa after structural relaxation (PBE-GGA).

a = 3.3903 Å, b = 3.3903 Å, c = 10.0479 Å
α = 90.00°, β = 90.00°, γ = 90.00°
With the nearest neighbours (Å) after each atom.
Atoms (fractional coordinates):
Pa (0.5000, 0.5000, 0.0000)  8 Er 3.37, 4 Pa 3.39
Tm (0.5000, 0.5000, 0.5000)  4 Tm 3.39, 8 Er 3.57
Er (0.0000, 0.0000, 0.7638)  4 Pa 3.37, 4 Er 3.39, 4 Tm 3.57
Er (0.0000, 0.0000, 0.2362)  4 Pa 3.37, 4 Er 3.39, 4 Tm 3.57

Values from the calculation:
* calculated formation energy: 0.12 eV per atom
* V: 115.5 Å³/cell

***

Entry from the Alexandria database: BaTl2CuSe4 after structural relaxation (PBE-GGA).

a = 4.3251 Å, b = 7.3703 Å, c = 14.6652 Å
α = 90.00°, β = 90.00°, γ = 107.06°
With the nearest neighbours (Å) after each atom.
Atoms (fractional coordinates):
Ba (0.1094, 0.2187, 0.7500)  6 Se 3.34-3.35, 1 Cu 3.72
Ba (0.8906, 0.7813, 0.2500)  6 Se 3.34-3.35, 1 Cu 3.72
Tl (0.3682, 0.7363, 0.5509)  6 Se 2.90-3.08
Tl (0.6318, 0.2637, 0.0509)  6 Se 2.90-3.08
Tl (0.6318, 0.2637, 0.4491)  6 Se 2.90-3.08
Tl (0.3682, 0.7363, 0.9491)  6 Se 2.90-3.08
Cu (0.8451, 0.6901, 0.7500)  4 Se 2.46-2.47
Cu (0.1549, 0.3099, 0.2500)  4 Se 2.46-2.47
Se (0.2684, 0.5368, 0.1218)  1 Cu 2.47
Se (0.7316, 0.4632, 0.6218)  1 Cu 2.47
Se (0.7316, 0.4632, 0.8782)  1 Cu 2.47
Se (0.2684, 0.5368, 0.3782)  1 Cu 2.47
Se (0.0000, 0.0000, 0.5000)  4 Tl 2.95
Se (0.0000, 0.0000, 0.0000)  4 Tl 2.95
Se (0.4283, 0.8565, 0.7500)  2 Cu 2.46
Se (0.5717, 0.1435, 0.2500)  2 Cu 2.46

Values from the calculation:
* V: 446.9 Å³/cell
* formation energy from raw total energies: -0.626 eV per atom

***

Entry from the Alexandria database: IrPdPt4Rh2 after structural relaxation (PBE-GGA).

a = 3.6349 Å, b = 5.8588 Å, c = 12.9882 Å
α = 90.00°, β = 90.00°, γ = 108.07°
With the nearest neighbours (Å) after each atom.
Atoms (fractional coordinates):
Ir (0.8327, 0.6654, 0.7500)  4 Pt 2.58-2.82, 2 Pd 2.64, 4 Rh 2.66
Ir (0.1673, 0.3346, 0.2500)  4 Pt 2.58-2.82, 2 Pd 2.64, 4 Rh 2.66
Pd (0.1614, 0.3227, 0.7500)  6 Pt 2.58-2.72, 2 Ir 2.64, 2 Rh 2.79
Pd (0.8386, 0.6773, 0.2500)  6 Pt 2.58-2.72, 2 Ir 2.64, 2 Rh 2.79
Pt (0.3432, 0.6864, 0.0943)  3 Rh 2.53-2.74, 3 Pt 2.70-2.80, 2 Pd 2.72, 1 Ir 2.82
Pt (0.6568, 0.3136, 0.5943)  3 Rh 2.53-2.74, 3 Pt 2.70-2.80, 2 Pd 2.72, 1 Ir 2.82
Pt (0.6568, 0.3136, 0.9057)  3 Rh 2.53-2.74, 3 Pt 2.70-2.80, 2 Pd 2.72, 1 Ir 2.82
Pt (0.3432, 0.6864, 0.4057)  3 Rh 2.53-2.74, 3 Pt 2.70-2.80, 2 Pd 2.72, 1 Ir 2.82
Pt (0.0000, 0.0000, 0.5000)  4 Pt 2.80, 4 Rh 2.85
Pt (0.0000, 0.0000, 0.0000)  4 Pt 2.80, 4 Rh 2.85
Pt (0.4966, 0.9932, 0.7500)  2 Ir 2.58, 2 Pd 2.58, 2 Rh 2.60, 2 Pt 2.70
Pt (0.5034, 0.0068, 0.2500)  2 Ir 2.58, 2 Pd 2.58, 2 Rh 2.60, 2 Pt 2.70
Rh (0.3410, 0.6821, 0.6003)  4 Pt 2.53-2.74, 2 Ir 2.66, 1 Pd 2.79
Rh (0.6590, 0.3179, 0.1003)  4 Pt 2.53-2.74, 2 Ir 2.66, 1 Pd 2.79
Rh (0.6590, 0.3179, 0.3997)  4 Pt 2.53-2.74, 2 Ir 2.66, 1 Pd 2.79
Rh (0.3410, 0.6821, 0.8997)  4 Pt 2.53-2.74, 2 Ir 2.66, 1 Pd 2.79

Values from the calculation:
* calculated formation energy: 0.31 eV per atom
* V: 263.0 Å³/cell

***

Entry from the Alexandria database: TiSb2TeW after structural relaxation (PBE-GGA).

a = 5.2196 Å, b = 5.2196 Å, c = 5.4200 Å
α = 90.00°, β = 90.00°, γ = 90.00°
With the nearest neighbours (Å) after each atom.
Atoms (fractional coordinates):
Sb (0.0000, 0.5000, 0.0000)  2 W 2.61
Sb (0.5000, 0.0000, 0.0000)  2 W 2.61
Te (0.0000, 0.0000, 0.5000)  2 W 2.71
W (0.0000, 0.0000, 0.0000)  4 Sb 2.61, 2 Te 2.71
Ti (0.5000, 0.5000, 0.5000)  4 Te 3.69, 8 Sb 3.76

Values from the calculation:
* V: 147.7 Å³/cell
* formation energy from raw total energies: 0.962 eV per atom

***

Entry from the Alexandria database: Cs2RbBr2 after structural relaxation (PBE-GGA).

a = 6.9801 Å, b = 6.9801 Å, c = 9.8345 Å
α = 69.21°, β = 69.21°, γ = 90.00°
With the nearest neighbours (Å) after each atom.
Atoms (fractional coordinates):
Cs (0.7500, 0.2500, 0.5000)  4 Br 3.60
Cs (0.2500, 0.7500, 0.5000)  4 Br 3.60
Br (0.1983, 0.1983, 0.6035)  1 Rb 3.37, 4 Cs 3.60
Br (0.8017, 0.8017, 0.3965)  1 Rb 3.37, 4 Cs 3.60
Rb (0.0000, 0.0000, 0.0000)  2 Br 3.37

Values from the calculation:
* V: 414.4 Å³/cell
* formation energy from raw total energies: -1.315 eV per atom

***

Question: Look up the V of the fifth one.
Answer: 414.4 Å³/cell

***

Question: V of number 3 (IrPdPt4Rh2)?
Answer: 263.0 Å³/cell

***

Question: Which of these has the highest V?
Answer: BaTl2CuSe4